Entry from the Alexandria database: a geometry-optimized LiZn8Co2 structure (PBE).

Formation enthalpy at 0 K, meV/atom: -14
D(E_F), states/eV per atom: 0.44
Crystal system: orthorhombic

Structure (CIF):
```
data_LiZn8Co2
_chemical_formula_sum 'Li2 Zn16 Co4'
_symmetry_space_group_name_H-M 'C m m m'
_symmetry_Int_Tables_number 65
_symmetry_space_group_name_Hall '-C 2 2'
_cell_length_a 7.6438
_cell_length_b 9.8039
_cell_length_c 4.1237
_cell_angle_alpha 90.00
_cell_angle_beta 90.00
_cell_angle_gamma 90.00
loop_
_atom_site_label
_atom_site_type_symbol
_atom_site_fract_x
_atom_site_fract_y
_atom_site_fract_z
Li1 Li 0.0000 0.0000 0.0000
Zn1 Zn 0.0000 0.2556 0.0000
Zn2 Zn 0.1674 0.5000 0.0000
Zn3 Zn 0.1699 0.1353 0.5000
Co1 Co 0.0000 0.3850 0.5000
```